Crystalline BaP at its relaxed geometry. Source: Alexandria via LeMat-Bulk, functional GGA-PBE.

abc: 6.538 6.538 6.511
angles: 90.00 90.00 90.00
Fractional positions:
P 0.627 0.373 0.000
P 0.127 0.127 0.500
P 0.373 0.627 0.000
P 0.873 0.873 0.500
Ba 0.195 0.195 0.000
Ba 0.695 0.305 0.500
Ba 0.805 0.805 0.000
Ba 0.305 0.695 0.500

Values from the calculation:
final energy: -4.47 eV per atom
space group: No. 136


Crystalline Ba5P3 at its relaxed geometry. Source: Alexandria via LeMat-Bulk, functional GGA-PBE.

abc: 7.878 8.821 9.547
angles: 83.86 65.63 74.98
Fractional positions:
Ba 0.638 0.103 0.714
Ba 0.361 0.898 0.286
Ba 0.992 0.291 0.890
Ba 0.617 0.710 0.890
Ba 0.852 0.103 0.286
Ba 0.007 0.710 0.110
Ba 0.382 0.291 0.110
Ba 0.278 0.466 0.500
Ba 0.147 0.898 0.714
Ba 0.722 0.535 0.500
P 0.748 0.000 0.004
P 0.657 0.500 0.185
P 0.958 0.775 0.500
P 0.041 0.226 0.500
P 0.252 0.000 0.996
P 0.342 0.500 0.815

Values from the calculation:
final energy: -4.10 eV per atom
space group: No. 12
ΔE to the lowest computed polymorph: 39 meV per atom


Crystalline BaP5 at its relaxed geometry. Source: Alexandria via LeMat-Bulk, functional GGA-PBE.

abc: 6.192 6.192 3.479
angles: 90.00 90.00 120.00
Fractional positions:
P 0.667 0.333 0.500
P 0.521 0.521 0.000
P 0.000 0.479 0.000
P 0.479 0.000 0.000
P 0.333 0.667 0.500
Ba 0.000 0.000 0.500

Values from the calculation:
final energy: -4.85 eV per atom
space group: No. 189
ΔE to the lowest computed polymorph: 369 meV per atom


Crystalline BaP at its relaxed geometry. Source: Alexandria via LeMat-Bulk, functional GGA-PBE.

abc: 6.286 6.286 6.286
angles: 52.32 52.32 52.32
Fractional positions:
Ba 0.744 0.744 0.744
Ba 0.256 0.256 0.256
P 0.068 0.068 0.068
P 0.932 0.932 0.932

Values from the calculation:
final energy: -4.52 eV per atom
space group: No. 166